A relaxed ScTiFeSi2 crystal, computed with PBE.

a b c (Å): 4.720 4.720 4.588
angles (deg): 90.00 90.00 90.00
Fractional positions:
1 Sc 0.000 0.000 0.000
2 Ti 0.000 0.000 0.500
3 Fe 0.500 0.500 0.000
4 Si 0.000 0.500 0.500
5 Si 0.500 0.000 0.500

Summary:
ΔE_f (raw)	0.8669	eV/atom
density of states at the Fermi level	6.1	states/eV per cell
mass density	3.33	Mg/m³
total DFT energy (no corrections)	-29.2	eV for the cell shown


A relaxed Sc2VFe5Si2 crystal, computed with PBE.

a b c (Å): 9.277 9.277 3.022
angles (deg): 90.00 90.00 90.00
Fractional positions:
1 Sc 0.171 0.329 0.000
2 Sc 0.329 0.829 0.000
3 Sc 0.671 0.171 0.000
4 Sc 0.829 0.671 0.000
5 V 0.000 0.000 0.000
6 V 0.500 0.500 0.000
7 Fe 0.000 0.500 0.500
8 Fe 0.064 0.800 0.500
9 Fe 0.200 0.064 0.500
10 Fe 0.300 0.564 0.500
11 Fe 0.436 0.300 0.500
12 Fe 0.500 0.000 0.500
13 Fe 0.564 0.700 0.500
14 Fe 0.700 0.436 0.500
15 Fe 0.800 0.936 0.500
16 Fe 0.936 0.200 0.500
17 Si 0.128 0.628 0.000
18 Si 0.372 0.128 0.000
19 Si 0.628 0.872 0.000
20 Si 0.872 0.372 0.000

Summary:
ΔE_f (raw)	-0.3596	eV/atom
density of states at the Fermi level	15.0	states/eV per cell
mass density	6.08	Mg/m³
total DFT energy (no corrections)	-157.1	eV for the cell shown


A relaxed ScFe2SiW crystal, computed with PBE.

a b c (Å): 4.112 4.112 4.686
angles (deg): 90.00 90.00 90.00
Fractional positions:
1 Sc 0.000 0.000 0.000
2 Fe 0.000 0.500 0.500
3 Fe 0.500 0.000 0.500
4 Si 0.000 0.000 0.500
5 W 0.500 0.500 0.000

Summary:
ΔE_f (raw)	0.9083	eV/atom
density of states at the Fermi level	5.7	states/eV per cell
mass density	7.72	Mg/m³
total DFT energy (no corrections)	-37.1	eV for the cell shown


A relaxed SmSc3Fe crystal, computed with PBE.

a b c (Å): 4.944 4.944 4.944
angles (deg): 90.00 90.00 90.00
Fractional positions:
1 Sm 0.000 0.000 0.000
2 Sc 0.000 0.500 0.500
3 Sc 0.500 0.000 0.500
4 Sc 0.500 0.500 0.000
5 Fe 0.500 0.500 0.500

Summary:
density of states at the Fermi level	6.3	states/eV per cell
mass density	4.69	Mg/m³
total DFT energy (no corrections)	-32.2	eV for the cell shown
ΔE_f	-3	kJ/mol of formula units


A relaxed SmSc3Fe8 crystal, computed with PBE.

a b c (Å): 8.668 8.668 8.668
angles (deg): 33.44 33.44 33.44
Fractional positions:
1 Sm 0.000 0.000 0.000
2 Sc 0.378 0.378 0.378
3 Sc 0.500 0.500 0.500
4 Sc 0.873 0.873 0.873
5 Fe 0.187 0.187 0.187
6 Fe 0.436 0.436 0.934
7 Fe 0.436 0.934 0.436
8 Fe 0.442 0.939 0.939
9 Fe 0.689 0.689 0.689
10 Fe 0.934 0.436 0.436
11 Fe 0.939 0.442 0.939
12 Fe 0.939 0.939 0.442

Summary:
density of states at the Fermi level	12.2	states/eV per cell
mass density	6.90	Mg/m³
total DFT energy (no corrections)	-93.6	eV for the cell shown
ΔE_f	-207	kJ/mol of formula units


A relaxed Sc12Fe6Sn crystal, computed with PBE.

a b c (Å): 7.822 7.822 7.822
angles (deg): 109.47 109.47 109.47
Fractional positions:
1 Sc 0.099 0.803 0.295
2 Sc 0.197 0.295 0.492
3 Sc 0.197 0.705 0.901
4 Sc 0.295 0.099 0.803
5 Sc 0.295 0.492 0.197
6 Sc 0.492 0.197 0.295
7 Sc 0.508 0.803 0.705
8 Sc 0.705 0.508 0.803
9 Sc 0.705 0.901 0.197
10 Sc 0.803 0.295 0.099
11 Sc 0.803 0.705 0.508
12 Sc 0.901 0.197 0.705
13 Fe 0.117 0.617 0.500
14 Fe 0.383 0.500 0.883
15 Fe 0.500 0.117 0.617
16 Fe 0.500 0.883 0.383
17 Fe 0.617 0.500 0.117
18 Fe 0.883 0.383 0.500
19 Sn 0.000 0.000 0.000

Summary:
density of states at the Fermi level	22.3	states/eV per cell
mass density	4.48	Mg/m³
total DFT energy (no corrections)	-134.2	eV for the cell shown
ΔE_f	-336	kJ/mol of formula units


> Which value of density of states at the Fermi level does entry 2 give?

15.0 states/eV per cell